A relaxed structure of SrZrTi2Tl, computed with GGA-PBE.

Lattice parameters (Å, degrees): 4.947 4.947 6.112 90.00 90.00 90.00
Space group P4/mmm (No. 123)
Unique sites:
Sr: 0.000 0.000 0.000 (multiplicity 1)
Zr: 0.000 0.000 0.500 (multiplicity 1)
Ti: 0.000 0.500 0.500 (multiplicity 2)
Tl: 0.500 0.500 0.000 (multiplicity 1)



A relaxed structure of Sr2Ti2V, computed with GGA-PBE.

**Excess energy over the best structure of this formula in the dataset**: 517.2 meV per atom

Lattice parameters (Å, degrees): 8.739 8.739 3.663 90.00 90.00 90.00
Space group P4/mbm (No. 127)
Unique sites:
Sr: 0.138 0.362 0.000 (multiplicity 4)
Ti: 0.166 0.666 0.500 (multiplicity 4)
V: 0.000 0.000 0.000 (multiplicity 2)



A relaxed structure of Sr2Ti2V, computed with GGA-PBE.

**Excess energy over the best structure of this formula in the dataset**: 0.0 meV per atom

Lattice parameters (Å, degrees): 3.683 3.683 21.526 90.00 90.00 90.00
Space group I4/mmm (No. 139)
Unique sites:
Sr: 0.000 0.000 0.104 (multiplicity 4)
Ti: 0.000 0.500 0.250 (multiplicity 4)
V: 0.000 0.000 0.500 (multiplicity 2)



A relaxed structure of Sr3TiV, computed with GGA-PBE.

**Excess energy over the best structure of this formula in the dataset**: 0.0 meV per atom

Lattice parameters (Å, degrees): 6.115 6.115 6.115 90.00 90.00 90.00
Space group Pm-3m (No. 221)
Unique sites:
Sr: 0.000 0.000 0.500 (multiplicity 3)
Ti: 0.500 0.500 0.500 (multiplicity 1)
V: 0.000 0.000 0.000 (multiplicity 1)



A relaxed structure of Sr2TiV2, computed with GGA-PBE.

**Excess energy over the best structure of this formula in the dataset**: 147.3 meV per atom

Lattice parameters (Å, degrees): 4.406 4.406 13.630 90.00 90.00 90.00
Space group I4/mmm (No. 139)
Unique sites:
Sr: 0.000 0.500 0.250 (multiplicity 4)
Ti: 0.000 0.000 0.000 (multiplicity 2)
V: 0.000 0.000 0.433 (multiplicity 4)



A relaxed structure of Sr2TiV2, computed with GGA-PBE.

**Excess energy over the best structure of this formula in the dataset**: 0.0 meV per atom

Lattice parameters (Å, degrees): 9.115 9.115 3.450 90.00 90.00 90.00
Space group P4/mbm (No. 127)
Unique sites:
Sr: 0.211 0.289 0.000 (multiplicity 4)
Ti: 0.000 0.000 0.500 (multiplicity 2)
V: 0.071 0.571 0.500 (multiplicity 4)



A relaxed structure of SrTiV3, computed with GGA-PBE.

**Excess energy over the best structure of this formula in the dataset**: 0.0 meV per atom

Lattice parameters (Å, degrees): 4.815 4.815 4.815 90.00 90.00 90.00
Space group Pm-3m (No. 221)
Unique sites:
Sr: 0.000 0.000 0.000 (multiplicity 1)
Ti: 0.500 0.500 0.500 (multiplicity 1)
V: 0.000 0.500 0.500 (multiplicity 3)



A relaxed structure of Sr3TiW, computed with GGA-PBE.

Lattice parameters (Å, degrees): 5.828 5.828 5.828 90.00 90.00 90.00
Space group Pm-3m (No. 221)
Unique sites:
Sr: 0.000 0.000 0.500 (multiplicity 3)
Ti: 0.500 0.500 0.500 (multiplicity 1)
W: 0.000 0.000 0.000 (multiplicity 1)



A relaxed structure of SrTiW2, computed with GGA-PBE.

**Excess energy over the best structure of this formula in the dataset**: 0.0 meV per atom

Lattice parameters (Å, degrees): 6.755 6.755 6.755 90.00 90.00 90.00
Space group Fm-3m (No. 225)
Unique sites:
Sr: 0.000 0.000 0.000 (multiplicity 4)
Ti: 0.000 0.000 0.500 (multiplicity 4)
W: 0.250 0.250 0.250 (multiplicity 8)



A relaxed structure of SrTi3W, computed with GGA-PBE.

**Excess energy over the best structure of this formula in the dataset**: 1559.6 meV per atom

Lattice parameters (Å, degrees): 4.614 4.614 4.614 90.00 90.00 90.00
Space group Pm-3m (No. 221)
Unique sites:
Sr: 0.000 0.000 0.000 (multiplicity 1)
Ti: 0.000 0.000 0.500 (multiplicity 3)
W: 0.500 0.500 0.500 (multiplicity 1)



A relaxed structure of SrTi3W, computed with GGA-PBE.

**Excess energy over the best structure of this formula in the dataset**: 0.0 meV per atom

Lattice parameters (Å, degrees): 4.957 4.957 4.957 90.00 90.00 90.00
Space group Pm-3m (No. 221)
Unique sites:
Sr: 0.000 0.000 0.000 (multiplicity 1)
Ti: 0.000 0.500 0.500 (multiplicity 3)
W: 0.500 0.500 0.500 (multiplicity 1)



A relaxed structure of SrTi2W, computed with GGA-PBE.

**Excess energy over the best structure of this formula in the dataset**: 0.0 meV per atom

Lattice parameters (Å, degrees): 6.839 6.839 6.839 90.00 90.00 90.00
Space group Fm-3m (No. 225)
Unique sites:
Sr: 0.000 0.000 0.000 (multiplicity 4)
Ti: 0.250 0.250 0.250 (multiplicity 8)
W: 0.000 0.000 0.500 (multiplicity 4)



A relaxed structure of SrTiW3, computed with GGA-PBE.

**Excess energy over the best structure of this formula in the dataset**: 0.0 meV per atom

Lattice parameters (Å, degrees): 4.785 4.785 4.785 90.00 90.00 90.00
Space group Pm-3m (No. 221)
Unique sites:
Sr: 0.000 0.000 0.000 (multiplicity 1)
Ti: 0.500 0.500 0.500 (multiplicity 1)
W: 0.000 0.500 0.500 (multiplicity 3)



For reference, ΔE_f by record: 1.0043 1.3524 0.8353 1.1807 1.1403 0.9930 1.1272 1.5060 1.3058 2.2369 0.6773 0.7992 1.7177 eV per atom.
For reference, V by record: 150 280 292 229 265 287 112 198 308 98 122 320 110 Å³ per cell.